1.
First-principles (PBE) data for an optimized crystal structure of BeSbCl3, as listed in Alexandria via LeMat-Bulk.

Cell: 5.342 5.342 5.342 Å, 90.00 90.00 90.00°
Space group Pm-3m (No. 221)
One atom of each set of equivalent atoms:
Be 0.000 0.000 0.000 [1 per cell]
Sb 0.500 0.500 0.500 [1 per cell]
Cl 0.000 0.500 0.500 [3 per cell]

## Properties
**N(E_F)**: 4.53 states/eV per cell
**ρ**: 2.58 Mg/m³
**Total energy**: -2.561 eV per atom

***

2.
First-principles (PBE) data for an optimized crystal structure of MoPt4W, as listed in Alexandria via LeMat-Bulk.

Cell: 2.790 2.790 12.033 Å, 90.00 90.00 90.00°
Space group P4/mmm (No. 123)
One atom of each set of equivalent atoms:
Mo 0.000 0.000 0.000 [1 per cell]
Pt 0.000 0.000 0.340 [2 per cell]
Pt 0.500 0.500 0.160 [2 per cell]
W 0.500 0.500 0.500 [1 per cell]

## Properties
**N(E_F)**: 4.62 states/eV per cell
**ρ**: 18.79 Mg/m³
**Total energy**: -8.309 eV per atom

***

3.
First-principles (PBE) data for an optimized crystal structure of CuOsW2, as listed in Alexandria via LeMat-Bulk.

Cell: 5.447 7.786 2.785 Å, 90.00 90.00 90.00°
Space group Cmmm (No. 65)
One atom of each set of equivalent atoms:
Cu 0.000 0.000 0.000 [2 per cell]
Os 0.000 0.500 0.000 [2 per cell]
W 0.250 0.250 0.500 [4 per cell]

## Properties
**N(E_F)**: 4.28 states/eV per cell
**ρ**: 17.47 Mg/m³
**Total energy**: -10.105 eV per atom

***

4.
First-principles (PBE) data for an optimized crystal structure of Sr2BeRe, as listed in Alexandria via LeMat-Bulk.

Cell: 3.346 3.346 8.906 Å, 90.00 90.00 90.00°
Space group P4mm (No. 99)
One atom of each set of equivalent atoms:
Sr 0.000 0.000 0.000 [1 per cell]
Sr 0.500 0.500 0.417 [1 per cell]
Be 0.000 0.000 0.687 [1 per cell]
Re 0.500 0.500 0.743 [1 per cell]

## Properties
**N(E_F)**: 3.68 states/eV per cell
**ρ**: 6.17 Mg/m³
**Total energy**: -4.372 eV per atom

***

5.
First-principles (PBE) data for an optimized crystal structure of CoTeHN2, as listed in Alexandria via LeMat-Bulk.

Cell: 3.507 3.507 5.441 Å, 90.00 90.00 90.00°
Space group P4/mmm (No. 123)
One atom of each set of equivalent atoms:
Co 0.000 0.000 0.000 [1 per cell]
Te 0.000 0.000 0.500 [1 per cell]
H 0.500 0.500 0.500 [1 per cell]
N 0.000 0.500 0.000 [2 per cell]

## Properties
**N(E_F)**: 3.57 states/eV per cell
**ρ**: 5.35 Mg/m³
**Total energy**: -4.874 eV per atom

***

6.
First-principles (PBE) data for an optimized crystal structure of TlAg2Pd2, as listed in Alexandria via LeMat-Bulk.

Cell: 7.935 7.935 3.019 Å, 90.00 90.00 90.00°
Space group P4/mbm (No. 127)
One atom of each set of equivalent atoms:
Tl 0.000 0.000 0.000 [2 per cell]
Ag 0.127 0.373 0.000 [4 per cell]
Pd 0.168 0.668 0.500 [4 per cell]

## Properties
**N(E_F)**: 4.70 states/eV per cell
**ρ**: 11.06 Mg/m³
**Total energy**: -3.622 eV per atom

***

7.
First-principles (PBE) data for an optimized crystal structure of AcMgHg2Au4, as listed in Alexandria via LeMat-Bulk.

Cell: 4.9040 4.9040 25.9664 Å, 90.00 90.00 120.00°
Space group R-3m (No. 166, hexagonal axes)
One atom of each set of equivalent atoms:
Ac 0.0000 0.0000 0.0000 [3 per cell]
Mg 0.0000 0.0000 0.5000 [3 per cell]
Hg 0.0000 0.0000 0.2491 [6 per cell]
Au 0.0000 0.0000 0.1345 [6 per cell]
Au 0.0000 0.0000 0.3938 [6 per cell]

## Properties
**N(E_F)**: 7.40 states/eV per cell
**ρ**: 13.27 Mg/m³
**Total energy**: -2.865 eV per atom

***

8.
First-principles (PBE) data for an optimized crystal structure of TcMoSeN2, as listed in Alexandria via LeMat-Bulk.

Cell: 3.893 3.893 5.367 Å, 90.00 90.00 90.00°
Space group P4/mmm (No. 123)
One atom of each set of equivalent atoms:
Tc 0.000 0.000 0.000 [1 per cell]
Mo 0.500 0.500 0.500 [1 per cell]
Se 0.500 0.500 0.000 [1 per cell]
N 0.000 0.500 0.500 [2 per cell]

## Properties
**N(E_F)**: 2.92 states/eV per cell
**ρ**: 6.14 Mg/m³
**Total energy**: -7.416 eV per atom

***

9.
First-principles (PBE) data for an optimized crystal structure of LiMnSn2, as listed in Alexandria via LeMat-Bulk.

Cell: 3.120 3.120 8.241 Å, 90.00 90.00 90.00°
Space group P4/mmm (No. 123)
One atom of each set of equivalent atoms:
Li 0.000 0.000 0.000 [1 per cell]
Mn 0.000 0.000 0.500 [1 per cell]
Sn 0.500 0.500 0.268 [2 per cell]

## Properties
**N(E_F)**: 1.93 states/eV per cell
**ρ**: 6.20 Mg/m³
**Total energy**: -4.840 eV per atom

***

10.
First-principles (PBE) data for an optimized crystal structure of Pm4Sm3ThS8, as listed in Alexandria via LeMat-Bulk.

Cell: 8.0537 8.0537 19.7128 Å, 90.00 90.00 120.00°
Space group R-3m (No. 166, hexagonal axes)
One atom of each set of equivalent atoms:
Pm 0.0000 0.0000 0.0000 [3 per cell]
Pm 0.0000 0.5000 0.0000 [9 per cell]
Sm 0.0000 0.5000 0.5000 [9 per cell]
Th 0.0000 0.0000 0.5000 [3 per cell]
S 0.0000 0.0000 0.2492 [6 per cell]
S 0.0008 0.5004 0.7506 [18 per cell]

## Properties
**N(E_F)**: 29.65 states/eV per cell
**ρ**: 6.84 Mg/m³
**Total energy**: -6.599 eV per atom

***

11.
First-principles (PBE) data for an optimized crystal structure of FeP2AuCl, as listed in Alexandria via LeMat-Bulk.

Cell: 4.817 4.817 4.982 Å, 90.00 90.00 90.00°
Space group P4/mmm (No. 123)
One atom of each set of equivalent atoms:
Fe 0.000 0.000 0.000 [1 per cell]
P 0.000 0.500 0.500 [2 per cell]
Au 0.500 0.500 0.500 [1 per cell]
Cl 0.500 0.500 0.000 [1 per cell]

## Properties
**N(E_F)**: 7.70 states/eV per cell
**ρ**: 5.03 Mg/m³
**Total energy**: -3.669 eV per atom

***

12.
First-principles (PBE) data for an optimized crystal structure of NaDyH, as listed in Alexandria via LeMat-Bulk.

Cell: 6.317 3.648 12.047 Å, 90.00 90.35 90.00°
Space group C2/m (No. 12)
One atom of each set of equivalent atoms:
Na 0.164 0.000 0.133 [4 per cell]
Dy 0.168 0.000 0.623 [4 per cell]
H 0.164 0.000 0.329 [4 per cell]

## Properties
**N(E_F)**: 3.36 states/eV per cell
**ρ**: 4.46 Mg/m³
**Total energy**: -3.286 eV per atom

***

13.
First-principles (PBE) data for an optimized crystal structure of KLiTa2, as listed in Alexandria via LeMat-Bulk.

Cell: 3.072 3.784 8.809 Å, 90.00 90.11 90.00°
Space group Pm (No. 6)
One atom of each set of equivalent atoms:
K 0.000 0.000 0.000 [1 per cell]
Li 0.504 0.500 0.669 [1 per cell]
Ta 0.001 0.000 0.481 [1 per cell]
Ta 0.499 0.500 0.331 [1 per cell]

## Properties
**N(E_F)**: 3.41 states/eV per cell
**ρ**: 6.61 Mg/m³
**Total energy**: -5.996 eV per atom